Material: CeNiTeO5
Method: DFT, GGA+U
State: relaxed

a = 6.383 Å, b = 6.383 Å, c = 7.457 Å
α = 99.07°, β = 99.07°, γ = 112.72°
Fractional coordinates of all 16 atoms:
Ce1 0.000 0.500 0.000
Ce2 0.500 0.000 0.500
Ni1 0.004 0.996 0.250
Ni2 0.996 0.004 0.750
Te1 0.500 0.500 0.250
Te2 0.500 0.500 0.750
O1 0.129 0.251 0.136
O2 0.188 0.812 0.250
O3 0.251 0.129 0.636
O4 0.347 0.601 0.924
O5 0.399 0.653 0.576
O6 0.601 0.347 0.424
O7 0.653 0.399 0.076
O8 0.749 0.871 0.364
O9 0.812 0.188 0.750
O10 0.871 0.749 0.864

Calculated density   5.02 g/cm³
Space-group type   C2/c, No. 15
Total magnetic moment   4.0 μB/cell
VASP energy   -99.9 eV per cell